First-principles (PBE) data for an optimized crystal structure of Tl2RuBr, as listed in the Alexandria database.

Computed properties:
Raw total energy   -3.4883 eV per atom
Space-group type   No. 35
Raw formation energy   0.4320 eV per atom
N(E_F)   3.51 states/eV/cell
ΔE to the lowest computed polymorph   0.189 eV/atom

abc: 3.401 3.401 10.229
angles: 90.00 90.00 121.25
Last column: magnetic moment on the atom in μB.
Element x y z (fractional)
Ru 0.500 0.500 0.738  0.83
Tl 0.000 0.000 0.959  0.00
Tl 0.500 0.500 0.245  0.01
Br 0.000 0.000 0.558  0.04

First-principles (PBE) data for an optimized crystal structure of TlRuBr2, as listed in the Alexandria database.

Computed properties:
Raw total energy   -3.5070 eV per atom
Space-group type   No. 122
Raw formation energy   0.2400 eV per atom
N(E_F)   7.79 states/eV/cell
ΔE to the lowest computed polymorph   0.314 eV/atom

abc: 6.643 6.643 7.749
angles: 64.62 64.62 90.00
Element x y z (fractional)
Ru 0.500 0.500 0.000
Ru 0.250 0.750 0.500
Tl 0.000 0.000 0.000
Tl 0.750 0.250 0.500
Br 0.522 0.125 0.250
Br 0.228 0.625 0.250
Br 0.375 0.478 0.750
Br 0.875 0.772 0.750

First-principles (PBE) data for an optimized crystal structure of Tl2RuBr, as listed in the Alexandria database.

Computed properties:
Raw total energy   -3.6069 eV per atom
Space-group type   No. 166
Raw formation energy   0.3134 eV per atom
N(E_F)   3.96 states/eV/cell
ΔE to the lowest computed polymorph   0.071 eV/atom

abc: 8.700 8.700 8.700
angles: 24.33 24.33 24.33
Last column: magnetic moment on the atom in μB.
Element x y z (fractional)
Ru 0.750 0.750 0.750  0.77
Tl 0.011 0.011 0.011  0.01
Tl 0.489 0.489 0.489  0.01
Br 0.250 0.250 0.250  0.01

First-principles (PBE) data for an optimized crystal structure of TlRu2Br, as listed in the Alexandria database.

Computed properties:
Raw total energy   -4.7223 eV per atom
Space-group type   No. 123
Raw formation energy   0.9254 eV per atom
N(E_F)   2.69 states/eV/cell
ΔE to the lowest computed polymorph   0.533 eV/atom

abc: 3.233 4.657 4.657
angles: 90.00 90.00 90.00
Element x y z (fractional)
Ru 0.000 0.000 0.000
Ru 0.000 0.500 0.500
Tl 0.500 0.500 0.000
Br 0.500 0.000 0.500

First-principles (PBE) data for an optimized crystal structure of TlRuBr2, as listed in the Alexandria database.

Computed properties:
Raw total energy   -3.4120 eV per atom
Space-group type   No. 99
Raw formation energy   0.3349 eV per atom
N(E_F)   3.88 states/eV/cell
ΔE to the lowest computed polymorph   0.409 eV/atom

abc: 3.480 3.480 8.695
angles: 90.00 90.00 90.00
Last column: magnetic moment on the atom in μB.
Element x y z (fractional)
Ru 0.000 0.000 0.494  2.43
Tl 0.500 0.500 0.730  0.05
Br 0.000 0.000 0.943  0.04
Br 0.500 0.500 0.334  0.27

First-principles (PBE) data for an optimized crystal structure of TlRuBr6, as listed in the Alexandria database.

Computed properties:
Raw total energy   -3.0308 eV per atom
Space-group type   No. 148
Raw formation energy   -0.3209 eV per atom
N(E_F)   4.37 states/eV/cell
ΔE to the lowest computed polymorph   0.010 eV/atom

abc: 6.954 6.953 7.539
angles: 62.54 62.51 59.98
Last column: magnetic moment on the atom in μB.
Element x y z (fractional)
Tl 0.500 0.500 0.500  0.05
Ru 0.000 0.000 0.000  1.68
Br 0.015 0.394 0.777  0.14
Br 0.815 0.015 0.777  0.14
Br 0.606 0.185 0.223  0.14
Br 0.185 0.985 0.223  0.14
Br 0.985 0.606 0.223  0.14
Br 0.394 0.815 0.777  0.14

First-principles (PBE) data for an optimized crystal structure of TlRu2Br, as listed in the Alexandria database.

Computed properties:
Raw total energy   -5.2554 eV per atom
Space-group type   No. 6
Raw formation energy   0.3924 eV per atom
N(E_F)   4.49 states/eV/cell
ΔE to the lowest computed polymorph   0.000 eV/atom

abc: 3.027 3.050 9.210
angles: 79.96 90.00 90.00
Element x y z (fractional)
Ru 0.000 0.795 0.040
Ru 0.500 0.211 0.199
Tl 0.000 0.580 0.446
Br 0.500 0.914 0.814

First-principles (PBE) data for an optimized crystal structure of TlRuBr2, as listed in the Alexandria database.

Computed properties:
Raw total energy   -3.0346 eV per atom
Space-group type   No. 216
Raw formation energy   0.7124 eV per atom
N(E_F)   3.24 states/eV/cell
ΔE to the lowest computed polymorph   0.786 eV/atom

abc: 5.254 5.254 5.254
angles: 60.00 60.00 60.00
Last column: magnetic moment on the atom in μB.
Element x y z (fractional)
Ru 0.500 0.500 0.500  2.50
Tl 0.750 0.750 0.750  0.02
Br 0.000 0.000 0.000  0.14
Br 0.250 0.250 0.250  0.08

First-principles (PBE) data for an optimized crystal structure of TlRu2Br, as listed in the Alexandria database.

Computed properties:
Raw total energy   -4.7428 eV per atom
Space-group type   No. 47
Raw formation energy   0.9049 eV per atom
N(E_F)   5.72 states/eV/cell
ΔE to the lowest computed polymorph   0.513 eV/atom

abc: 3.039 5.311 4.571
angles: 90.00 90.00 90.00
Last column: magnetic moment on the atom in μB.
Element x y z (fractional)
Ru 0.000 0.000 0.000  0.27
Ru 0.500 0.500 0.000  0.19
Tl 0.500 0.000 0.500  -0.01
Br 0.000 0.500 0.500  0.01

First-principles (PBE) data for an optimized crystal structure of TlRu2Br, as listed in the Alexandria database.

Computed properties:
Raw total energy   -5.2122 eV per atom
Space-group type   No. 99
Raw formation energy   0.4355 eV per atom
N(E_F)   3.09 states/eV/cell
ΔE to the lowest computed polymorph   0.043 eV/atom

abc: 3.005 3.005 9.028
angles: 90.00 90.00 90.00
Element x y z (fractional)
Ru 0.000 0.000 0.029
Ru 0.500 0.500 0.197
Tl 0.000 0.000 0.446
Br 0.500 0.500 0.827

First-principles (PBE) data for an optimized crystal structure of TlRu4Br, as listed in the Alexandria database.

Computed properties:
Raw total energy   -5.8258 eV per atom
Space-group type   No. 216
Raw formation energy   1.0313 eV per atom
N(E_F)   8.11 states/eV/cell

abc: 5.334 5.334 5.334
angles: 60.00 60.00 60.00
Last column: magnetic moment on the atom in μB.
Element x y z (fractional)
Tl 0.750 0.750 0.750  0.01
Ru 0.878 0.374 0.374  1.22
Ru 0.374 0.374 0.878  1.22
Ru 0.374 0.878 0.374  1.22
Ru 0.374 0.374 0.374  1.22
Br 0.000 0.000 0.000  0.21

First-principles (PBE) data for an optimized crystal structure of Tl2RuBr, as listed in the Alexandria database.

Computed properties:
Raw total energy   -3.3258 eV per atom
Space-group type   No. 119
Raw formation energy   0.5945 eV per atom
N(E_F)   4.51 states/eV/cell
ΔE to the lowest computed polymorph   0.352 eV/atom

abc: 6.633 6.633 6.633
angles: 142.68 142.68 53.80
Last column: magnetic moment on the atom in μB.
Element x y z (fractional)
Ru 0.750 0.250 0.500  1.83
Tl 0.000 0.000 0.000  0.01
Tl 0.250 0.750 0.500  -0.04
Br 0.500 0.500 0.000  0.05